! PBE KSr2TlNi, optimized geometry; values from VASP
&SYSTEM
  ibrav = 0, nat = 5, ntyp = 4
/
ATOMIC_SPECIES
K 39.10 K.upf
Sr 87.62 Sr.upf
Tl 204.38 Tl.upf
Ni 58.69 Ni.upf
CELL_PARAMETERS angstrom
5.946 0.000 0.000
0.000 5.946 0.000
0.000 0.000 5.207
ATOMIC_POSITIONS crystal
K 0.000 0.000 0.000
Sr 0.000 0.500 0.500
Sr 0.500 0.000 0.500
Tl 0.500 0.500 0.000
Ni 0.500 0.500 0.500
! Crystal system: tetragonal
! Formation enthalpy at 0 K in meV per atom: -20
! D(E_F) in states/eV per atom: 0.914
! Final energy in eV/atom: -2.54

! PBE AlAg2F6, optimized geometry; values from VASP
&SYSTEM
  ibrav = 0, nat = 18, ntyp = 3
/
ATOMIC_SPECIES
Al 26.98 Al.upf
Ag 107.87 Ag.upf
F 19.00 F.upf
CELL_PARAMETERS angstrom
5.600 0.000 0.000
0.000 5.711 0.000
-5.402 0.000 8.396
ATOMIC_POSITIONS crystal
Al 0.000 0.000 0.000
Al 0.000 0.500 0.500
Ag 0.313 0.077 0.788
Ag 0.313 0.423 0.288
Ag 0.687 0.577 0.712
Ag 0.687 0.923 0.212
F 0.022 0.111 0.182
F 0.022 0.389 0.682
F 0.240 0.740 0.614
F 0.240 0.760 0.114
F 0.308 0.176 0.049
F 0.308 0.324 0.549
F 0.692 0.676 0.451
F 0.692 0.824 0.951
F 0.760 0.240 0.886
F 0.760 0.260 0.386
F 0.978 0.611 0.318
F 0.978 0.889 0.818
! Crystal system: monoclinic
! D(E_F) in states/eV per atom: 0.306
! Formation energy from raw total energies in meV/atom: -2168
! Final energy in eV/atom: -4.47

! PBE CuSiSn2S, optimized geometry; values from VASP
&SYSTEM
  ibrav = 0, nat = 5, ntyp = 4
/
ATOMIC_SPECIES
Cu 63.55 Cu.upf
Si 28.09 Si.upf
Sn 118.71 Sn.upf
S 32.06 S.upf
CELL_PARAMETERS angstrom
5.338 0.000 0.000
0.000 5.338 0.000
0.000 0.000 4.498
ATOMIC_POSITIONS crystal
Cu 0.000 0.000 0.000
Si 0.500 0.500 0.000
Sn 0.000 0.500 0.500
Sn 0.500 0.000 0.500
S 0.500 0.500 0.500
! Crystal system: tetragonal
! D(E_F) in states/eV per atom: 0.494
! Formation energy from raw total energies in meV/atom: 721
! Final energy in eV/atom: -3.61

! PBE ZnRhSe2N, optimized geometry; values from VASP
&SYSTEM
  ibrav = 0, nat = 5, ntyp = 4
/
ATOMIC_SPECIES
Zn 65.41 Zn.upf
Rh 102.91 Rh.upf
Se 78.96 Se.upf
N 14.01 N.upf
CELL_PARAMETERS angstrom
4.987 0.000 0.000
0.000 4.987 0.000
0.000 0.000 3.535
ATOMIC_POSITIONS crystal
Zn 0.000 0.000 0.000
Rh 0.500 0.500 0.500
Se 0.000 0.500 0.000
Se 0.500 0.000 0.000
N 0.000 0.000 0.500
! Crystal system: tetragonal
! Distance to the lowest polymorph of the same formula in meV per atom: 677
! D(E_F) in states/eV per atom: 0.657
! Formation energy from raw total energies in meV/atom: 1103
! Final energy in eV/atom: -3.68

! PBE InBi2Pb5, optimized geometry; values from VASP
&SYSTEM
  ibrav = 0, nat = 16, ntyp = 3
/
ATOMIC_SPECIES
In 114.82 In.upf
Bi 208.98 Bi.upf
Pb 207.20 Pb.upf
CELL_PARAMETERS angstrom
2.938 -6.341 0.000
2.938 6.341 0.000
0.000 0.000 13.777
ATOMIC_POSITIONS crystal
In 0.176 0.824 0.750
In 0.824 0.176 0.250
Bi 0.338 0.662 0.127
Bi 0.338 0.662 0.373
Bi 0.662 0.338 0.627
Bi 0.662 0.338 0.873
Pb 0.081 0.919 0.250
Pb 0.130 0.870 0.512
Pb 0.130 0.870 0.988
Pb 0.402 0.598 0.624
Pb 0.402 0.598 0.876
Pb 0.598 0.402 0.124
Pb 0.598 0.402 0.376
Pb 0.870 0.130 0.012
Pb 0.870 0.130 0.488
Pb 0.919 0.081 0.750
! Crystal system: orthorhombic
! Formation enthalpy at 0 K in meV per atom: 57
! Distance to the lowest polymorph of the same formula in meV per atom: 46
! D(E_F) in states/eV per atom: 0.462
! Final energy in eV/atom: -3.57

! PBE MnV2Te5, optimized geometry; values from VASP
&SYSTEM
  ibrav = 0, nat = 8, ntyp = 3
/
ATOMIC_SPECIES
Mn 54.94 Mn.upf
V 50.94 V.upf
Te 127.60 Te.upf
CELL_PARAMETERS angstrom
0.000 6.681 6.988
2.405 0.000 6.988
2.405 6.681 0.000
ATOMIC_POSITIONS crystal
Mn 0.000 0.000 0.000
V 0.307 0.307 0.693
V 0.693 0.693 0.307
Te 0.031 0.288 0.712
Te 0.288 0.031 0.969
Te 0.500 0.500 0.500
Te 0.712 0.969 0.031
Te 0.969 0.712 0.288
! Crystal system: orthorhombic
! Distance to the lowest polymorph of the same formula in meV per atom: 112
! D(E_F) in states/eV per atom: 0.657
! Formation energy from raw total energies in meV/atom: -45
! Final energy in eV/atom: -5.43

! PBE Zn2InSb, optimized geometry; values from VASP
&SYSTEM
  ibrav = 0, nat = 4, ntyp = 3
/
ATOMIC_SPECIES
Zn 65.41 Zn.upf
In 114.82 In.upf
Sb 121.76 Sb.upf
CELL_PARAMETERS angstrom
3.379 -4.058 0.000
3.379 4.058 0.000
-0.772 0.000 3.232
ATOMIC_POSITIONS crystal
Zn 0.000 0.500 0.000
Zn 0.500 0.000 0.000
In 0.000 0.000 0.500
Sb 0.500 0.500 0.500
! Crystal system: monoclinic
! Distance to the lowest polymorph of the same formula in meV per atom: 61
! D(E_F) in states/eV per atom: 0.346
! Formation energy from raw total energies in meV/atom: 152
! Final energy in eV/atom: -2.20

! PBE Tb4Nd7Dy, optimized geometry; values from VASP
&SYSTEM
  ibrav = 0, nat = 12, ntyp = 3
/
ATOMIC_SPECIES
Tb 158.93 Tb.upf
Nd 144.24 Nd.upf
Dy 162.50 Dy.upf
CELL_PARAMETERS angstrom
8.127 -3.012 0.000
8.127 3.012 0.000
-4.140 0.000 8.470
ATOMIC_POSITIONS crystal
Tb 0.072 0.072 0.197
Tb 0.172 0.172 0.889
Tb 0.828 0.828 0.111
Tb 0.928 0.928 0.803
Nd 0.000 0.000 0.500
Nd 0.290 0.290 0.620
Nd 0.291 0.291 0.270
Nd 0.417 0.417 0.057
Nd 0.583 0.583 0.943
Nd 0.709 0.709 0.730
Nd 0.710 0.710 0.380
Dy 0.500 0.500 0.500
! Crystal system: monoclinic
! Formation enthalpy at 0 K in meV per atom: 213
! Distance to the lowest polymorph of the same formula in meV per atom: 205
! D(E_F) in states/eV per atom: 1.632
! Final energy in eV/atom: -4.49